[1]
Compound: Ba2Pm3Ge4
Source: Alexandria via LeMat-Bulk
Functional: GGA-PBE
Structure: optimized geometry

Geometry as CIF:
```
data_Ba2Pm3Ge4
_chemical_formula_sum 'Ba8 Pm12 Ge16'
_cell_length_a 7.3826
_cell_length_b 17.2614
_cell_length_c 8.6660
_cell_angle_alpha 90.00
_cell_angle_beta 90.00
_cell_angle_gamma 90.00
_symmetry_space_group_name_H-M 'C m c e'
_symmetry_Int_Tables_number 64
_symmetry_space_group_name_Hall '-C 2ac 2'
loop_
_atom_site_label
_atom_site_type_symbol
_atom_site_fract_x
_atom_site_fract_y
_atom_site_fract_z
Ba1 Ba 0.0000 0.1071 0.0828
Pm1 Pm 0.0000 0.0000 0.5000
Pm2 Pm 0.2500 0.2112 0.7500
Ge1 Ge 0.0000 0.1910 0.4560
Ge2 Ge 0.2500 0.0400 0.7500
```

Values from the calculation:
ΔH_f (0 K): -0.576 eV/atom
Crystal system: orthorhombic
Electronic total energy: -41.750 eV/f.u.
Magnetic moment: 0.00 μB/f.u.

---

[2]
Compound: Tl2CdP
Source: Alexandria via LeMat-Bulk
Functional: GGA-PBE
Structure: optimized geometry

Geometry as CIF:
```
data_Tl2CdP
_chemical_formula_sum 'Tl6 Cd3 P3'
_cell_length_a 4.1736
_cell_length_b 4.1736
_cell_length_c 22.0740
_cell_angle_alpha 90.00
_cell_angle_beta 90.00
_cell_angle_gamma 120.00
_symmetry_space_group_name_H-M 'R -3 m'
_symmetry_Int_Tables_number 166
_symmetry_space_group_name_Hall '-R 3 2"'
loop_
_atom_site_label
_atom_site_type_symbol
_atom_site_fract_x
_atom_site_fract_y
_atom_site_fract_z
Tl1 Tl 0.0000 0.0000 0.2350
Cd1 Cd 0.0000 0.0000 0.0000
P1 P 0.0000 0.0000 0.5000
```

Values from the calculation:
ΔH_f (0 K): 0.173 eV/atom
Crystal system: trigonal
Electronic total energy: -10.365 eV/f.u.
Offset from the most stable computed form: 93 meV/atom
Magnetic moment: 0.00 μB/f.u.

---

[3]
Compound: Th2MgCu3Ni12
Source: Alexandria via LeMat-Bulk
Functional: GGA-PBE
Structure: optimized geometry

Geometry as CIF:
```
data_Th2MgCu3Ni12
_chemical_formula_sum 'Th6 Mg3 Cu9 Ni36'
_cell_length_a 8.4252
_cell_length_b 8.4252
_cell_length_c 12.2254
_cell_angle_alpha 90.00
_cell_angle_beta 90.00
_cell_angle_gamma 120.00
_symmetry_space_group_name_H-M 'R -3 m'
_symmetry_Int_Tables_number 166
_symmetry_space_group_name_Hall '-R 3 2"'
loop_
_atom_site_label
_atom_site_type_symbol
_atom_site_fract_x
_atom_site_fract_y
_atom_site_fract_z
Th1 Th 0.0000 0.0000 0.1899
Mg1 Mg 0.0000 0.0000 0.5000
Cu1 Cu 0.0000 0.5000 0.0000
Ni1 Ni 0.0094 0.5047 0.2034
Ni2 Ni 0.0218 0.5109 0.6074
```

Values from the calculation:
ΔH_f (0 K): -0.049 eV/atom
Crystal system: trigonal
Electronic total energy: -98.973 eV/f.u.
Magnetic moment: 0.00 μB/f.u.

---

[4]
Compound: ThMnWC3
Source: Alexandria via LeMat-Bulk
Functional: GGA-PBE
Structure: optimized geometry

Geometry as CIF:
```
data_ThMnWC3
_chemical_formula_sum 'Th2 Mn2 W2 C6'
_cell_length_a 6.9053
_cell_length_b 3.2867
_cell_length_c 7.4532
_cell_angle_alpha 90.00
_cell_angle_beta 106.92
_cell_angle_gamma 90.00
_symmetry_space_group_name_H-M 'P 1 21/m 1'
_symmetry_Int_Tables_number 11
_symmetry_space_group_name_Hall '-P 2yb'
loop_
_atom_site_label
_atom_site_type_symbol
_atom_site_fract_x
_atom_site_fract_y
_atom_site_fract_z
Th1 Th 0.1997 0.2500 0.2134
Mn1 Mn 0.1036 0.2500 0.6064
W1 W 0.3447 0.7500 0.8650
C1 C 0.1240 0.2500 0.8624
C2 C 0.1835 0.7500 0.5286
C3 C 0.4506 0.7500 0.1611
```

Values from the calculation:
ΔH_f (0 K): -0.003 eV/atom
Crystal system: monoclinic
Electronic total energy: -57.229 eV/f.u.
Magnetic moment: 0.00 μB/f.u.

---

[5]
Compound: ZrRe4Ni
Source: Alexandria via LeMat-Bulk
Functional: GGA-PBE
Structure: optimized geometry

Geometry as CIF:
```
data_ZrRe4Ni
_chemical_formula_sum 'Zr4 Re16 Ni4'
_cell_length_a 7.3641
_cell_length_b 7.3641
_cell_length_c 7.3641
_cell_angle_alpha 90.00
_cell_angle_beta 90.00
_cell_angle_gamma 90.00
_symmetry_space_group_name_H-M 'F -4 3 m'
_symmetry_Int_Tables_number 216
_symmetry_space_group_name_Hall 'F -4 2 3'
loop_
_atom_site_label
_atom_site_type_symbol
_atom_site_fract_x
_atom_site_fract_y
_atom_site_fract_z
Zr1 Zr 0.0000 0.0000 0.0000
Re1 Re 0.1239 0.1239 0.3761
Ni1 Ni 0.2500 0.2500 0.7500
```

Values from the calculation:
ΔH_f (0 K): 0.105 eV/atom
Crystal system: cubic
Electronic total energy: -63.491 eV/f.u.
Magnetic moment: 0.00 μB/f.u.

---

[6]
Compound: GdHoHgPd
Source: Alexandria via LeMat-Bulk
Functional: GGA-PBE
Structure: optimized geometry

Geometry as CIF:
```
data_GdHoHgPd
_chemical_formula_sum 'Gd4 Ho4 Hg4 Pd4'
_cell_length_a 7.2510
_cell_length_b 7.2510
_cell_length_c 7.2510
_cell_angle_alpha 90.00
_cell_angle_beta 90.00
_cell_angle_gamma 90.00
_symmetry_space_group_name_H-M 'F -4 3 m'
_symmetry_Int_Tables_number 216
_symmetry_space_group_name_Hall 'F -4 2 3'
loop_
_atom_site_label
_atom_site_type_symbol
_atom_site_fract_x
_atom_site_fract_y
_atom_site_fract_z
Gd1 Gd 0.0000 0.0000 0.0000
Ho1 Ho 0.0000 0.0000 0.5000
Hg1 Hg 0.2500 0.2500 0.7500
Pd1 Pd 0.2500 0.2500 0.2500
```

Values from the calculation:
ΔH_f (0 K): -0.639 eV/atom
Crystal system: cubic
Electronic total energy: -26.711 eV/f.u.
Magnetic moment: 7.09 μB/f.u.

---

[7]
Compound: CsSeBr2O
Source: Alexandria via LeMat-Bulk
Functional: GGA-PBE
Structure: optimized geometry

Geometry as CIF:
```
data_CsSeBr2O
_chemical_formula_sum 'Cs1 Se1 Br2 O1'
_cell_length_a 6.7935
_cell_length_b 6.7935
_cell_length_c 3.6727
_cell_angle_alpha 90.00
_cell_angle_beta 90.00
_cell_angle_gamma 90.00
_symmetry_space_group_name_H-M 'P 4/m m m'
_symmetry_Int_Tables_number 123
_symmetry_space_group_name_Hall '-P 4 2'
loop_
_atom_site_label
_atom_site_type_symbol
_atom_site_fract_x
_atom_site_fract_y
_atom_site_fract_z
Cs1 Cs 0.0000 0.0000 0.0000
Se1 Se 0.5000 0.5000 0.0000
Br1 Br 0.0000 0.5000 0.5000
O1 O 0.5000 0.5000 0.5000
```

Values from the calculation:
Uncorrected formation energy: -0.47 eV per atom
Crystal system: tetragonal
Electronic total energy: -14.968 eV/f.u.
Magnetic moment: 0.38 μB/f.u.

---

[8]
Compound: Rb2MgHg10
Source: Alexandria via LeMat-Bulk
Functional: GGA-PBE
Structure: optimized geometry

Geometry as CIF:
```
data_Rb2MgHg10
_chemical_formula_sum 'Rb4 Mg2 Hg20'
_cell_length_a 11.1123
_cell_length_b 11.6758
_cell_length_c 7.0442
_cell_angle_alpha 90.00
_cell_angle_beta 90.00
_cell_angle_gamma 90.00
_symmetry_space_group_name_H-M 'P b a m'
_symmetry_Int_Tables_number 55
_symmetry_space_group_name_Hall '-P 2 2ab'
loop_
_atom_site_label
_atom_site_type_symbol
_atom_site_fract_x
_atom_site_fract_y
_atom_site_fract_z
Rb1 Rb 0.2331 0.0701 0.0000
Mg1 Mg 0.0000 0.5000 0.5000
Hg1 Hg 0.0418 0.1269 0.5000
Hg2 Hg 0.0519 0.3343 0.2057
Hg3 Hg 0.1797 0.6878 0.5000
Hg4 Hg 0.2425 0.9323 0.5000
```

Values from the calculation:
ΔH_f (0 K): -0.123 eV/atom
Crystal system: orthorhombic
Electronic total energy: -8.150 eV/f.u.
Magnetic moment: 0.00 μB/f.u.

---

no.,Fermi-level density of states (states/eV/f.u.)
1,7.79
2,1.09
3,16.38
4,4.10
5,3.89
6,3.02
7,5.10
8,4.04